# 1
# Ta2MnFe

A geometry-optimized Ta2MnFe structure (PBE, Alexandria via LeMat-Bulk).

Unit cell a=3.270 b=4.487 c=8.041 alpha=90.00 beta=90.00 gamma=90.00
Positions (direct):
Ta (0.000, 0.000, 0.249)
Ta (0.000, 0.000, 0.751)
Ta (0.500, 0.500, 0.251)
Ta (0.500, 0.500, 0.749)
Mn (0.000, 0.500, 0.500)
Mn (0.500, 0.000, 0.000)
Fe (0.000, 0.500, 0.000)
Fe (0.500, 0.000, 0.500)

DOS at the Fermi energy = 8.132 states/eV per cell
total energy = -10.28 eV per atom

---

# 2
# Ta2Mn4Fe5

A geometry-optimized Ta2Mn4Fe5 structure (PBE, Alexandria via LeMat-Bulk).

Unit cell a=8.465 b=7.861 c=4.640 alpha=80.80 beta=66.45 gamma=32.75
Positions (direct):
Ta (0.108, 0.108, 0.892)
Ta (0.892, 0.892, 0.108)
Mn (0.221, 0.509, 0.491)
Mn (0.491, 0.779, 0.221)
Mn (0.509, 0.221, 0.779)
Mn (0.779, 0.491, 0.509)
Fe (0.000, 0.000, 0.500)
Fe (0.250, 0.250, 0.250)
Fe (0.500, 0.500, 0.000)
Fe (0.500, 0.500, 0.500)
Fe (0.750, 0.750, 0.750)

DOS at the Fermi energy = 13.148 states/eV per cell
total energy = -9.10 eV per atom

---

# 3
# Ta2MnFe

A geometry-optimized Ta2MnFe structure (PBE, Alexandria via LeMat-Bulk).

Unit cell a=2.981 b=2.981 c=23.467 alpha=90.00 beta=90.00 gamma=120.00
Positions (direct):
Ta (0.000, 0.000, 0.249)
Ta (0.000, 0.000, 0.751)
Ta (0.333, 0.667, 0.417)
Ta (0.333, 0.667, 0.916)
Ta (0.667, 0.333, 0.084)
Ta (0.667, 0.333, 0.583)
Mn (0.000, 0.000, 0.500)
Mn (0.333, 0.667, 0.167)
Mn (0.667, 0.333, 0.833)
Fe (0.000, 0.000, 0.000)
Fe (0.333, 0.667, 0.667)
Fe (0.667, 0.333, 0.333)

DOS at the Fermi energy = 8.325 states/eV per cell
total energy = -10.11 eV per atom

---

# 4
# Ta2MnFe

A geometry-optimized Ta2MnFe structure (PBE, Alexandria via LeMat-Bulk).

Unit cell a=3.277 b=4.031 c=4.476 alpha=90.00 beta=90.00 gamma=90.00
Positions (direct):
Ta (0.000, 0.000, 0.000)
Ta (0.500, 0.000, 0.500)
Mn (0.000, 0.500, 0.500)
Fe (0.500, 0.500, 0.000)

DOS at the Fermi energy = 3.613 states/eV per cell
total energy = -10.28 eV per atom

---

# 5
# Ta2MnFe

A geometry-optimized Ta2MnFe structure (PBE, Alexandria via LeMat-Bulk).

Unit cell a=6.835 b=6.835 c=5.400 alpha=90.00 beta=90.00 gamma=90.00
Positions (direct):
Ta (0.236, 0.750, 0.125)
Ta (0.250, 0.236, 0.875)
Ta (0.250, 0.264, 0.375)
Ta (0.264, 0.750, 0.625)
Ta (0.736, 0.250, 0.625)
Ta (0.750, 0.736, 0.375)
Ta (0.750, 0.764, 0.875)
Ta (0.764, 0.250, 0.125)
Mn (0.000, 0.000, 0.500)
Mn (0.000, 0.500, 0.750)
Mn (0.500, 0.000, 0.250)
Mn (0.500, 0.500, 0.000)
Fe (0.000, 0.000, 0.000)
Fe (0.000, 0.500, 0.250)
Fe (0.500, 0.000, 0.750)
Fe (0.500, 0.500, 0.500)

DOS at the Fermi energy = 21.145 states/eV per cell
total energy = -9.81 eV per atom

---

# 6
# TaMnFe2

A geometry-optimized TaMnFe2 structure (PBE, Alexandria via LeMat-Bulk).

Unit cell a=3.017 b=3.017 c=5.671 alpha=90.00 beta=90.00 gamma=90.00
Positions (direct):
Ta (0.000, 0.000, 0.000)
Mn (0.000, 0.000, 0.500)
Fe (0.500, 0.500, 0.263)
Fe (0.500, 0.500, 0.737)

DOS at the Fermi energy = 4.107 states/eV per cell
total energy = -9.50 eV per atom

---

Look up the DOS at the Fermi energy of the first one.
8.132 states/eV per cell

---

Which formula does entry 1 have?
Ta2MnFe

---

Which value of DOS at the Fermi energy does entry 6 give?
4.107 states/eV per cell

---

Please write out number 4 again, unchanged.
# Ta2MnFe

A geometry-optimized Ta2MnFe structure (PBE, Alexandria via LeMat-Bulk).

Unit cell a=3.277 b=4.031 c=4.476 alpha=90.00 beta=90.00 gamma=90.00
Positions (direct):
Ta (0.000, 0.000, 0.000)
Ta (0.500, 0.000, 0.500)
Mn (0.000, 0.500, 0.500)
Fe (0.500, 0.500, 0.000)

DOS at the Fermi energy = 3.613 states/eV per cell
total energy = -10.28 eV per atom